Computed, not measured: a relaxed Tb12Y3Zr crystal at the PBE level of DFT.

a = 5.0079 Å, b = 5.0079 Å, c = 19.9465 Å
α = 90.00°, β = 90.00°, γ = 90.00°
Sites, in units of the cell vectors:
Tb 0.5000 0.0000 0.1175
Tb 0.0000 0.5000 0.3728
Tb 0.5000 0.5000 0.2466
Tb 0.0000 0.5000 0.6272
Tb 0.5000 0.5000 0.0000
Tb 0.5000 0.0000 0.6272
Tb 0.5000 0.0000 0.8825
Tb 0.5000 0.0000 0.3728
Tb 0.0000 0.5000 0.1175
Tb 0.0000 0.5000 0.8825
Tb 0.5000 0.5000 0.7534
Tb 0.5000 0.5000 0.5000
Y 0.0000 0.0000 0.2472
Y 0.0000 0.0000 0.5000
Y 0.0000 0.0000 0.7528
Zr 0.0000 0.0000 0.0000

Computed properties:
M_tot (μB per cell): 0.0
VASP energy (eV/atom): -5.18
Calculated volume (Å³/cell): 500.24
Density of states at the Fermi level (states/eV/cell): 21.7
Energy of formation from the pure elements (eV per atom): 0.038